Computed, not measured: crystalline CeTmS at its relaxed geometry at the PBE-GGA level of DFT.

Cell lengths 3.7551, 3.7551, 6.4895 Å; angles 90.00, 90.00, 120.00 degrees
With the nearest neighbours (Å) after each atom.
Positions (direct):
1 Ce 0.0000 0.0000 0.0666  3 S 2.82
2 S 0.6667 0.3333 0.3443  3 Tm 2.69, 3 Ce 2.82
3 Tm 0.3333 0.6667 0.5891  3 S 2.69

## Properties
Its formation energy from raw total energies is -1157 meV/atom. Its spin magnetization is 1.1 μB/f.u. For the volume, the calculation gives 26.42 Å³ per atom. The calculation puts the electronic total energy at -18.00 eV for the cell shown. Its density of states at the Fermi level is 2.11 states/eV per atom.


Computed, not measured: crystalline CeTmS2 at its relaxed geometry at the PBE-GGA level of DFT.

Cell lengths 3.8355, 3.8355, 7.2670 Å; angles 74.70, 74.70, 60.00 degrees
With the nearest neighbours (Å) after each atom.
Positions (direct):
1 S 0.0762 0.0762 0.7713  3 Tm 2.67, 3 Ce 2.84
2 S 0.2573 0.2573 0.2282  3 Tm 2.77, 3 Ce 2.97
3 Tm 0.6711 0.6711 0.9867  6 S 2.67-2.77
4 Ce 0.4954 0.4954 0.5138  6 S 2.84-2.97

## Properties
Its formation energy from raw total energies is -1919 meV/atom. Its relative energy among the computed polymorphs is 86 meV/atom. Its spin magnetization is 1.1 μB/f.u. For the volume, the calculation gives 22.05 Å³ per atom. The calculation puts the electronic total energy at -26.34 eV for the cell shown. Its density of states at the Fermi level is 1.61 states/eV per atom.